# 1
# PmSm3Si4

An optimized crystal structure of PmSm3Si4 (PBE, the Alexandria database).

Geometry as extended XYZ:
```
8
Lattice="-3.133 2.528 -0.521 -1.744 -3.240 -5.232 -2.151 -4.409 7.356" Properties=species:S:1:pos:R:3 pbc="T T T"
Si -3.330 -1.021 -0.742
Si -3.965 -2.201 -2.650
Si -3.698 -4.100 2.344
Si -3.064 -2.920 4.253
Sm -0.872 -1.620 -2.616
Sm -5.245 -3.270 -0.139
Sm -1.784 -1.851 1.741
Pm -1.567 1.264 -0.261
```

Summary:
Its space-group type is Immm, No. 71. The calculation puts the raw formation energy at -0.531 eV per atom.

---

# 2
# Pm5SmSi4

An optimized crystal structure of Pm5SmSi4 (PBE, the Alexandria database).

Geometry as extended XYZ:
```
10
Lattice="5.080 0.000 0.000 0.000 6.442 -2.593 -2.540 -3.537 9.767" Properties=species:S:1:pos:R:3 pbc="T T T"
Si 0.000 1.652 -0.516
Si 2.540 1.253 7.690
Si 0.000 3.486 3.986
Si 2.540 -0.582 3.188
Pm 2.540 1.992 4.786
Pm 0.000 0.913 2.388
Pm 2.540 -1.315 6.122
Pm 2.540 3.221 -1.296
Pm 0.000 4.219 1.052
Sm 2.540 0.000 0.000
```

Summary:
Its space-group type is C2/m, No. 12. The calculation puts the raw formation energy at -0.502 eV per atom.

---

# 3
# Pm2Sm3Si2

An optimized crystal structure of Pm2Sm3Si2 (PBE, the Alexandria database).

Geometry as extended XYZ:
```
7
Lattice="4.143 -0.001 -0.929 -2.533 5.563 -1.596 -0.227 0.075 8.688" Properties=species:S:1:pos:R:3 pbc="T T T"
Sm 2.802 1.030 2.792
Sm 2.071 0.000 -0.465
Sm -1.419 4.607 3.371
Si -2.093 4.802 0.363
Si 3.476 0.835 5.800
Pm 0.127 2.771 0.565
Pm 1.256 2.866 5.598
```

Summary:
Its space-group type is C2/m, No. 12. The calculation puts the raw formation energy at -0.431 eV per atom.

---

# 4
# Pm4Sm3Si4

An optimized crystal structure of Pm4Sm3Si4 (PBE, the Alexandria database).

Geometry as extended XYZ:
```
11
Lattice="3.897 0.000 0.000 0.000 8.691 0.000 -1.949 -4.346 8.616" Properties=species:S:1:pos:R:3 pbc="T T T"
Sm 1.949 4.346 6.974
Sm 0.000 0.000 1.641
Sm 0.000 4.346 0.000
Pm 0.000 -1.538 5.668
Pm 0.000 1.538 5.668
Pm 1.949 5.884 2.948
Pm 1.949 2.807 2.948
Si 1.949 1.950 0.000
Si 1.949 0.000 3.896
Si 0.000 4.346 4.719
Si 1.949 6.741 0.000
```

Summary:
Its space-group type is Immm, No. 71. The calculation puts the raw formation energy at -0.497 eV per atom.

---

# 5
# Pm2SmSi2

An optimized crystal structure of Pm2SmSi2 (PBE, the Alexandria database).

Geometry as extended XYZ:
```
10
Lattice="-2.957 0.021 2.800 0.631 -5.763 0.709 7.287 6.865 7.645" Properties=species:S:1:pos:R:3 pbc="T T T"
Si 0.595 1.816 5.057
Si -1.663 -3.529 2.712
Si 4.366 -0.694 6.097
Si 6.625 4.652 8.442
Pm 3.535 2.072 5.198
Pm 6.097 1.536 7.908
Pm -1.135 -0.413 3.246
Pm 1.427 -0.950 5.956
Sm 3.606 4.382 8.218
Sm 1.355 -3.259 2.936
```

Summary:
Its space-group type is P2_1/m, No. 11. The calculation puts the energy above the lowest structure with this stoichiometry at 0.163 eV per atom. The calculation puts the raw formation energy at -0.495 eV per atom.

---

# 6
# Pm3Sm3Si4

An optimized crystal structure of Pm3Sm3Si4 (PBE, the Alexandria database).

Geometry as extended XYZ:
```
10
Lattice="-2.898 2.502 2.000 -5.068 -1.381 -5.617 -2.626 -6.119 3.848" Properties=species:S:1:pos:R:3 pbc="T T T"
Si -6.831 -6.652 -1.579
Si -0.867 -0.839 -0.207
Si -4.120 -3.220 -1.943
Si -3.569 -4.288 0.191
Pm -6.655 -3.827 -0.193
Pm -3.934 -1.175 0.433
Pm -6.087 -0.965 -2.948
Sm -2.539 -0.694 -2.810
Sm -4.507 -4.029 3.173
Sm -6.377 -4.435 -3.692
```

Summary:
Its space-group type is Amm2, No. 38. The calculation puts the raw formation energy at -0.659 eV per atom.

---

# 7
# Pm2SmSi

An optimized crystal structure of Pm2SmSi (PBE, the Alexandria database).

Geometry as extended XYZ:
```
4
Lattice="-1.059 -0.518 -3.769 0.944 -3.826 0.261 -6.715 -1.513 2.095" Properties=species:S:1:pos:R:3 pbc="T T T"
Sm -3.415 -2.929 -0.707
Pm -5.347 -1.205 1.668
Pm -1.368 -0.308 0.427
Si -0.058 -2.172 -1.754
```

Summary:
Its space-group type is P4/mmm, No. 123. The calculation puts the energy above the lowest structure with this stoichiometry at 0.147 eV per atom. The calculation puts the raw formation energy at -0.221 eV per atom.

---

# 8
# Pm2SmSi

An optimized crystal structure of Pm2SmSi (PBE, the Alexandria database).

Geometry as extended XYZ:
```
4
Lattice="4.747 0.000 0.000 0.000 4.734 0.000 0.000 0.000 4.734" Properties=species:S:1:pos:R:3 pbc="T T T"
Pm 0.000 2.367 0.000
Pm 0.000 0.000 2.367
Si 2.373 0.000 0.000
Sm 2.373 2.367 2.367
```

Summary:
Its space-group type is P4/mmm, No. 123. The calculation puts the energy above the lowest structure with this stoichiometry at 0.112 eV per atom. The calculation puts the raw formation energy at -0.256 eV per atom.

---

> Which value of raw formation energy does entry 4 give?

-0.497 eV per atom